Computed, not measured: crystalline AcY2SbO8 at its relaxed geometry at the GGA-PBE level of DFT.

a b c (Å): 4.416 5.331 7.429
angles (deg): 93.37 90.99 91.49
Atoms (fractional coordinates):
Ac 0.000 0.000 0.000
Y 0.463 0.469 0.736
Y 0.537 0.531 0.264
Sb 0.000 0.000 0.500
O 0.077 0.742 0.291
O 0.163 0.799 0.696
O 0.360 0.235 0.467
O 0.455 0.274 0.002
O 0.545 0.726 0.998
O 0.640 0.765 0.533
O 0.837 0.201 0.304
O 0.923 0.258 0.709

Values from the calculation:
Symmetry: No. 2
Total DFT energy (no corrections) in eV/atom: -7.515
Total magnetization in μB per formula unit: 2.004
DOS(E_F) in states/eV/f.u.: 3.84